Computed, not measured: Ac2Cu6Pd9 after structural relaxation at the PBE-GGA level of DFT.

Geometry as extended XYZ:
```
17
Lattice="5.515 0.000 0.000 -2.757 4.776 0.000 0.000 0.000 12.267" Properties=species:S:1:pos:R:3 pbc="T T T"
Ac 0.000 0.000 2.322
Ac 0.000 0.000 9.946
Cu 0.000 3.184 2.041
Cu 0.000 3.184 6.134
Cu 0.000 3.184 10.227
Cu 2.757 1.592 2.041
Cu 2.757 1.592 6.134
Cu 2.757 1.592 10.227
Pd -1.379 2.388 0.000
Pd -1.379 2.388 4.085
Pd -1.379 2.388 8.182
Pd 2.757 0.000 0.000
Pd 2.757 0.000 4.085
Pd 2.757 0.000 8.182
Pd 1.379 2.388 0.000
Pd 1.379 2.388 4.085
Pd 1.379 2.388 8.182
```

Crystal system ... hexagonal
E_tot ... -4.962 eV per atom